A relaxed YSc3Rh2 crystal, computed with GGA-PBE.

```
YSc3Rh2
1.0
-2.6535 3.1489 1.3131
-5.3830 -3.3908 -2.7465
-1.1850 -4.0542 7.3277
Sc Rh Y
6 4 2
Cartesian
-4.9958 -1.2886 0.1077
-5.4435 -5.7089 2.6900
-5.3955 -3.6638 -2.1174
-2.3035 -2.4789 1.2896
-3.6992 -5.3729 5.4093
-3.0940 -2.2948 6.3640
-2.1016 -3.4983 4.1422
-4.4201 -3.9176 0.4626
-6.3769 -4.4308 4.8521
-2.8470 0.1330 1.0409
-4.7822 -2.5101 3.4687
-1.9088 -0.1921 3.7167
```

## Properties
formation energy from the elements	-691	meV/atom
crystal system	orthorhombic
total magnetic moment	0.00	μB/cell
calculated volume	21.1	Å³/atom

A relaxed YSc2ZnRh4 crystal, computed with GGA-PBE.

```
YSc2ZnRh4
1.0
4.5514 0.0000 0.0000
2.2757 3.9416 0.0000
2.2757 1.3139 7.5303
Rh Sc Zn Y
4 2 1 1
Cartesian
4.5514 2.6278 1.0586
2.2757 1.3139 4.6772
4.5514 2.6278 6.4717
6.8271 3.9416 2.8531
6.8271 3.9416 5.4598
2.2757 1.3139 2.0705
4.5514 2.6278 3.7652
0.0000 0.0000 0.0000
```

## Properties
formation energy from the elements	-834	meV/atom
crystal system	trigonal
total magnetic moment	0.00	μB/cell
calculated volume	16.9	Å³/atom

A relaxed ScZn2Rh crystal, computed with GGA-PBE.

```
ScZn2Rh
1.0
8.6822 -0.0520 -0.0306
8.1697 2.9393 -0.0306
8.1697 1.3997 2.5848
Sc Rh Zn
1 1 2
Cartesian
18.7663 3.2152 1.8927
6.2554 1.0717 0.6309
24.8096 4.2507 2.5021
12.7230 2.1798 1.2832
```

## Properties
formation energy from the elements	-143	meV/atom
crystal system	trigonal
total magnetic moment	0.00	μB/cell
calculated volume	17.0	Å³/atom

A relaxed ScZn2Rh crystal, computed with GGA-PBE.

```
ScZn2Rh
1.0
4.4715 0.0000 0.0000
2.2357 3.8724 0.0000
2.2357 1.2908 3.6510
Rh Sc Zn
1 1 2
Cartesian
4.4715 2.5816 1.8255
6.7072 3.8724 2.7382
2.2357 1.2908 0.9127
0.0000 0.0000 0.0000
```

## Properties
formation energy from the elements	-474	meV/atom
crystal system	cubic
total magnetic moment	0.00	μB/cell
calculated volume	15.8	Å³/atom

A relaxed Sc4ZnRh3 crystal, computed with GGA-PBE.

```
Sc4ZnRh3
1.0
-2.9948 2.3170 2.6142
-3.2941 -2.2623 2.2807
2.5154 -0.7153 7.5649
Rh Sc Zn
3 4 1
Cartesian
-1.8867 -0.3303 6.2299
-0.9511 -0.1639 3.1050
-2.8224 -0.4967 9.3548
-3.5794 -0.0610 4.0522
-0.1941 -0.5995 8.4077
-4.5331 -0.2246 7.1539
0.7596 -0.4360 5.3059
0.0000 0.0000 0.0000
```

## Properties
formation energy from the elements	-847	meV/atom
crystal system	trigonal
total magnetic moment	0.00	μB/cell
calculated volume	17.3	Å³/atom

A relaxed Sc2ZnRh crystal, computed with GGA-PBE.

```
Sc2ZnRh
1.0
-6.4764 -4.4069 3.1463
-3.9955 -5.5848 4.9102
-5.4552 -2.8043 5.8001
Rh Zn Sc
1 1 2
Cartesian
-11.9454 -9.5970 10.3924
-3.9818 -3.1990 3.4641
-7.8752 -6.3270 6.8514
-0.0884 -0.0710 0.0769
```

## Properties
formation energy from the elements	-413	meV/atom
crystal system	trigonal
total magnetic moment	0.00	μB/cell
calculated volume	19.0	Å³/atom